1.
Computed, not measured: a relaxed NaZn2Cu2 crystal at the GGA-PBEsol level of DFT.

As for the space group: P4/mbm (127).

abc: 7.4974 7.4974 2.5701
angles: 90.00 90.00 90.00
Fractional coordinates of all 10 atoms:
Na  0.0000  0.0000  0.0000
Na  0.5000  0.5000  0.0000
Zn  0.1250  0.3750  0.0000
Zn  0.3750  0.8750  0.0000
Zn  0.6250  0.1250  0.0000
Zn  0.8750  0.6250  0.0000
Cu  0.1711  0.6711  0.5000
Cu  0.3289  0.1711  0.5000
Cu  0.6711  0.8289  0.5000
Cu  0.8289  0.3289  0.5000

---

2.
Computed, not measured: a relaxed TlTcAu4 crystal at the GGA-PBEsol level of DFT.

As for the space group: F-43m (216).

abc: 5.4423 5.4423 5.4423
angles: 60.00 60.00 60.00
Fractional coordinates of all 6 atoms:
Tl  0.0000  0.0000  0.0000
Tc  0.7500  0.7500  0.7500
Au  0.3753  0.3753  0.3753
Au  0.3753  0.3753  0.8740
Au  0.3753  0.8740  0.3753
Au  0.8740  0.3753  0.3753

---

3.
Computed, not measured: a relaxed KLiCd2 crystal at the GGA-PBEsol level of DFT.

As for the energy above the lowest structure with this stoichiometry: 0.141 eV per atom. As for the space group: Fm-3m (225).

abc: 5.3845 5.3845 5.3845
angles: 60.00 60.00 60.00
Fractional coordinates of all 4 atoms:
K  0.0000  0.0000  0.0000
Li  0.5000  0.5000  0.5000
Cd  0.2500  0.2500  0.2500
Cd  0.7500  0.7500  0.7500

---

Quick rundown of energy relative to the elements, same order as above: 0.0012; 0.5386; 0.0797 eV per atom
Quick rundown of ρ, same order as above: 6.5; 15.9; 4.1 Mg/m³
Quick rundown of electronic total energy, same order as above: -2.645; -4.393; -1.294 eV per atom